The following is a DFT calculation (PBE) of MnBeRe3 after structural relaxation.

Cell lengths 4.394, 4.394, 4.394 Å; angles 90.00, 90.00, 90.00 degrees
Sites, in units of the cell vectors:
Be 0.500 0.500 0.500
Re 0.000 0.500 0.000
Re 0.500 0.000 0.000
Mn 0.000 0.000 0.000
Re 0.000 0.000 0.500

Results
E above lowest polymorph in meV per atom: 929
E in eV per atom: -8.28
ΔH_f (0 K) in eV/f.u.: 8.8
D(E_F) in states/eV per cell: 5.08

The following is a DFT calculation (PBE) of Mn2BeRe after structural relaxation.

Cell lengths 2.887, 2.887, 5.349 Å; angles 90.00, 90.00, 90.00 degrees
Sites, in units of the cell vectors:
Mn 0.000 0.000 0.534
Re 0.500 0.500 0.250
Mn 0.000 0.000 0.966
Be 0.500 0.500 0.750

Results
E in eV per atom: -8.67
ΔH_f (0 K) in eV/f.u.: -0.2
D(E_F) in states/eV per cell: 4.38

The following is a DFT calculation (PBE) of Mn2BeRe after structural relaxation.

Cell lengths 4.283, 4.283, 2.726 Å; angles 90.00, 90.00, 104.78 degrees
Last column: magnetic moment on the atom in μB.
Sites, in units of the cell vectors:
Mn 0.000 0.000 0.000  1.87
Mn 0.500 0.500 0.000  1.87
Be 0.000 0.500 0.500  -0.07
Re 0.500 0.000 0.500  -0.36

Results
E in eV per atom: -8.54
ΔH_f (0 K) in eV/f.u.: 0.3
D(E_F) in states/eV per cell: 2.80

The following is a DFT calculation (PBE) of Mn2BeRe after structural relaxation.

Cell lengths 4.076, 4.076, 4.076 Å; angles 60.00, 60.00, 60.00 degrees
Last column: magnetic moment on the atom in μB.
Sites, in units of the cell vectors:
Mn 0.250 0.250 0.250  3.11
Be 0.500 0.500 0.500  -0.05
Mn 0.000 0.000 0.000  1.34
Re 0.750 0.750 0.750  -0.06

Results
E in eV per atom: -8.57
ΔH_f (0 K) in eV/f.u.: 0.2
D(E_F) in states/eV per cell: 5.17

The following is a DFT calculation (PBE) of MnBeRe after structural relaxation.

Cell lengths 3.841, 3.841, 3.841 Å; angles 60.00, 60.00, 60.00 degrees
Sites, in units of the cell vectors:
Re 0.000 0.000 0.000
Be 0.500 0.500 0.500
Mn 0.750 0.750 0.750

Results
E above lowest polymorph in meV per atom: 549
E in eV per atom: -8.02
ΔH_f (0 K) in eV/f.u.: 1.3
D(E_F) in states/eV per cell: 3.97

The following is a DFT calculation (PBE) of Mn2BeRe after structural relaxation.

Cell lengths 2.945, 3.956, 3.956 Å; angles 90.00, 90.00, 90.00 degrees
Last column: magnetic moment on the atom in μB.
Sites, in units of the cell vectors:
Re 0.500 0.500 0.000  -0.21
Mn 0.000 0.500 0.500  0.70
Mn 0.000 0.000 0.000  0.70
Be 0.500 0.000 0.500  -0.03

Results
E in eV per atom: -8.58
ΔH_f (0 K) in eV/f.u.: 0.2
D(E_F) in states/eV per cell: 3.34